DFT (PBE-GGA) results for a geometry-optimized TbY2ErTm6 structure.

Output
* calculated formation energy: 1.28 eV per formula unit
* V: 31.2 Å³ per atom
* N(E_F): 1.42 states/eV per atom
* DFT total energy: -4.767 eV per atom
* space-group type: C2/c

a = 8.6896 Å, b = 8.6896 Å, c = 9.4087 Å
α = 93.59°, β = 93.59°, γ = 117.74°
Fractional coordinates of all 20 atoms:
1 Tb 0.0249 0.9751 0.7500
2 Tb 0.9751 0.0249 0.2500
3 Y 0.1976 0.3027 0.5453
4 Y 0.3027 0.1976 0.0453
5 Y 0.6973 0.8024 0.9547
6 Y 0.8024 0.6973 0.4547
7 Er 0.4095 0.5905 0.2500
8 Er 0.5905 0.4095 0.7500
9 Tm 0.0195 0.5700 0.6852
10 Tm 0.1260 0.7512 0.0579
11 Tm 0.2488 0.8740 0.4421
12 Tm 0.2899 0.5083 0.8820
13 Tm 0.4300 0.9805 0.8148
14 Tm 0.4917 0.7101 0.6180
15 Tm 0.5083 0.2899 0.3820
16 Tm 0.5700 0.0195 0.1852
17 Tm 0.7101 0.4917 0.1180
18 Tm 0.7512 0.1260 0.5579
19 Tm 0.8740 0.2488 0.9421
20 Tm 0.9805 0.4300 0.3148